Model one:
Computed, not measured: Sm6Y12Cd after structural relaxation at the GGA-PBE level of DFT.

a b c (Å): 8.679 8.679 8.679
angles (deg): 97.18 97.18 97.18
Element x y z (fractional)
Sm 0.865 0.593 0.865
Sm 0.593 0.865 0.865
Sm 0.407 0.135 0.135
Sm 0.135 0.135 0.407
Sm 0.865 0.865 0.593
Sm 0.135 0.407 0.135
Y 0.000 0.740 0.260
Y 0.413 0.413 0.832
Y 0.168 0.587 0.587
Y 0.000 0.260 0.740
Y 0.740 0.000 0.260
Y 0.413 0.832 0.413
Y 0.260 0.000 0.740
Y 0.587 0.168 0.587
Y 0.587 0.587 0.168
Y 0.832 0.413 0.413
Y 0.260 0.740 0.000
Y 0.740 0.260 0.000
Cd 0.000 0.000 0.000

## Properties
Fermi-level density of states = 1.82 states/eV per atom
crystal system = trigonal

Model two:
Computed, not measured: Sm6Y12Cd after structural relaxation at the GGA-PBE level of DFT.

a b c (Å): 8.534 8.534 8.534
angles (deg): 88.89 88.89 88.89
Element x y z (fractional)
Y 0.984 0.821 0.637
Y 0.016 0.179 0.363
Y 0.781 0.537 0.437
Y 0.363 0.016 0.179
Y 0.637 0.984 0.821
Y 0.463 0.563 0.219
Y 0.821 0.637 0.984
Y 0.537 0.437 0.781
Y 0.179 0.363 0.016
Y 0.219 0.463 0.563
Y 0.563 0.219 0.463
Y 0.437 0.781 0.537
Cd 0.000 0.000 0.000
Sm 0.294 0.738 0.905
Sm 0.738 0.905 0.294
Sm 0.706 0.262 0.095
Sm 0.262 0.095 0.706
Sm 0.905 0.294 0.738
Sm 0.095 0.706 0.262

## Properties
Fermi-level density of states = 1.49 states/eV per atom
crystal system = trigonal

Of the structures shown above, model two is the most stable.